1.
DFT (GGA-PBE) results for a relaxed structure of Mg4In3Au.

Cell: 3.247 3.247 16.771 Å, 90.00 90.00 90.00°
Element x y z (fractional)
1 Mg 0.000 0.000 0.100
2 Mg 0.000 0.000 0.634
3 Mg 0.000 0.000 0.900
4 Mg 0.000 0.000 0.366
5 In 0.500 0.500 0.766
6 In 0.500 0.500 0.234
7 In 0.500 0.500 0.500
8 Au 0.500 0.500 0.000

Calculated values
ΔE_f   -0.22 eV/atom
Final energy   -19.7 eV/cell
Calculated volume   176.8 Å³ per cell

---

2.
DFT (GGA-PBE) results for a relaxed structure of AsRu.

Cell: 7.427 7.427 7.427 Å, 90.00 90.00 90.00°
Element x y z (fractional)
1 Ru 0.867 0.867 0.867
2 Ru 0.133 0.867 0.133
3 Ru 0.633 0.367 0.633
4 Ru 0.367 0.367 0.367
5 Ru 0.633 0.633 0.367
6 Ru 0.133 0.133 0.867
7 Ru 0.367 0.633 0.633
8 Ru 0.867 0.133 0.133
9 As 0.316 0.316 0.684
10 As 0.684 0.684 0.684
11 As 0.816 0.816 0.184
12 As 0.184 0.184 0.184
13 As 0.816 0.184 0.816
14 As 0.684 0.316 0.316
15 As 0.184 0.816 0.816
16 As 0.316 0.684 0.316

Calculated values
ΔE_f   0.07 eV/atom
Final energy   -110.3 eV/cell
Calculated volume   409.8 Å³ per cell

---

3.
DFT (GGA-PBE) results for a relaxed structure of LaErGa2Pd2.

Cell: 4.547 4.547 7.087 Å, 90.00 90.00 120.00°
Element x y z (fractional)
1 Pd 0.333 0.667 0.715
2 Pd 0.667 0.333 0.285
3 Er 0.000 0.000 0.500
4 Ga 0.667 0.333 0.717
5 Ga 0.333 0.667 0.283
6 La 0.000 0.000 0.000

Calculated values
ΔE_f   -0.86 eV/atom
Final energy   -31.1 eV/cell
Calculated volume   126.9 Å³ per cell

---

4.
DFT (GGA-PBE) results for a relaxed structure of Ac8Ni3I4Br.

Cell: 8.862 9.936 8.860 Å, 116.48 120.01 90.00°
Element x y z (fractional)
1 Ac 0.244 0.694 0.951
2 Ac 0.707 0.694 0.951
3 Ac 0.756 0.306 0.512
4 Ac 0.273 0.320 0.546
5 Ac 0.293 0.306 0.049
6 Ac 0.244 0.694 0.488
7 Ac 0.727 0.680 0.454
8 Ac 0.756 0.306 0.049
9 I 0.000 0.000 0.000
10 I 0.000 0.000 0.500
11 I 0.500 0.000 0.000
12 I 0.500 0.000 0.500
13 Ni 0.500 0.500 0.500
14 Ni 0.000 0.500 0.500
15 Ni 0.500 0.500 0.000
16 Br 0.000 0.500 0.000

Calculated values
Final energy   -70.5 eV/cell
Calculated volume   579.2 Å³ per cell

---

5.
DFT (GGA-PBE) results for a relaxed structure of ScRu2Pb.

Cell: 4.426 3.065 5.510 Å, 88.65 90.00 90.00°
Element x y z (fractional)
1 Pb 0.500 0.750 0.750
2 Sc 0.500 0.250 0.250
3 Ru 0.000 0.560 0.458
4 Ru 0.000 0.940 0.042

Calculated values
ΔE_f   0.13 eV/atom
Final energy   -28.1 eV/cell
Calculated volume   74.7 Å³ per cell

---

6.
DFT (GGA-PBE) results for a relaxed structure of SrCa2Tl2Sn2.

Cell: 5.390 5.390 9.668 Å, 73.81 73.81 60.00°
Element x y z (fractional)
1 Tl 0.429 0.429 0.714
2 Tl 0.571 0.571 0.286
3 Sn 0.256 0.256 0.231
4 Sn 0.744 0.744 0.769
5 Ca 0.867 0.867 0.400
6 Ca 0.133 0.133 0.600
7 Sr 0.000 0.000 0.000

Calculated values
ΔE_f   -0.34 eV/atom
Final energy   -20.8 eV/cell
Calculated volume   230.3 Å³ per cell

---

7.
DFT (GGA-PBE) results for a relaxed structure of HfCu2SnW.

Cell: 4.556 4.556 5.118 Å, 90.00 90.00 90.00°
Element x y z (fractional)
1 Cu 0.000 0.500 0.000
2 Cu 0.500 0.000 0.000
3 Sn 0.000 0.000 0.000
4 W 0.000 0.000 0.500
5 Hf 0.500 0.500 0.500

Calculated values
ΔE_f   1.26 eV/atom
Final energy   -28.8 eV/cell
Calculated volume   106.2 Å³ per cell

---

8.
DFT (GGA-PBE) results for a relaxed structure of K2Ba2Cu.

Cell: 8.637 8.637 7.768 Å, 90.00 90.00 90.00°
Element x y z (fractional)
1 Cu 0.000 0.000 0.000
2 Cu 0.500 0.500 0.000
3 Ba 0.679 0.179 0.000
4 Ba 0.821 0.679 0.000
5 Ba 0.179 0.321 0.000
6 Ba 0.321 0.821 0.000
7 K 0.673 0.827 0.500
8 K 0.327 0.173 0.500
9 K 0.173 0.673 0.500
10 K 0.827 0.327 0.500

Calculated values
ΔE_f   0.21 eV/atom
Final energy   -18.2 eV/cell
Calculated volume   579.4 Å³ per cell

---

9.
DFT (GGA-PBE) results for a relaxed structure of Y4ZrCd.

Cell: 6.310 6.310 6.310 Å, 60.00 60.00 60.00°
Site moments in Bohr magnetons follow the coordinates.
Element x y z (fractional)
1 Y 0.375 0.375 0.874  0.04
2 Y 0.375 0.874 0.375  0.04
3 Y 0.375 0.375 0.375  0.04
4 Y 0.874 0.375 0.375  0.04
5 Cd 0.000 0.000 0.000  -0.01
6 Zr 0.750 0.750 0.750  0.79

Calculated values
ΔE_f   0.40 eV/atom
Final energy   -32.9 eV/cell
Calculated volume   177.6 Å³ per cell

---

10.
DFT (GGA-PBE) results for a relaxed structure of Hf2Zr3NbN6.

Cell: 5.587 5.587 5.588 Å, 99.54 99.54 119.98°
Element x y z (fractional)
1 Zr 0.500 0.500 0.500
2 Zr 0.162 0.838 0.500
3 Zr 0.838 0.162 0.500
4 Hf 0.666 0.334 0.000
5 Hf 0.334 0.666 0.000
6 N 0.423 0.080 0.243
7 N 0.080 0.423 0.243
8 N 0.738 0.738 0.241
9 N 0.577 0.920 0.757
10 N 0.920 0.577 0.757
11 N 0.262 0.262 0.759
12 Nb 0.000 0.000 0.000

Calculated values
Final energy   -124.8 eV/cell
Calculated volume   142.5 Å³ per cell

---

11.
DFT (GGA-PBE) results for a relaxed structure of LiDyErLu.

Cell: 5.403 5.403 5.403 Å, 60.00 60.00 60.00°
Element x y z (fractional)
1 Er 0.250 0.250 0.250
2 Lu 0.500 0.500 0.500
3 Dy 0.750 0.750 0.750
4 Li 0.000 0.000 0.000

Calculated values
ΔE_f   0.16 eV/atom
Final energy   -14.9 eV/cell
Calculated volume   111.5 Å³ per cell

---

12.
DFT (GGA-PBE) results for a relaxed structure of Nd2Ga3CuNi4.

Cell: 4.127 4.127 9.920 Å, 90.00 90.00 90.00°
Element x y z (fractional)
1 Ga 0.500 0.000 0.875
2 Ga 0.000 0.500 0.125
3 Ga 0.000 0.000 0.500
4 Ni 0.000 0.500 0.368
5 Ni 0.000 0.000 0.000
6 Ni 0.500 0.500 0.000
7 Ni 0.500 0.000 0.632
8 Cu 0.500 0.500 0.500
9 Nd 0.000 0.500 0.750
10 Nd 0.500 0.000 0.250

Calculated values
ΔE_f   -0.47 eV/atom
Final energy   -50.5 eV/cell
Calculated volume   168.9 Å³ per cell

---

What is the final energy in the ninth record? -32.9 eV/cell

---

Among the records above, which one has the lowest calculated volume? ScRu2Pb